No. 1
10
Lattice="-3.0819 2.5725 1.9043 -5.6607 -5.1581 -2.1930 2.6056 -1.6272 6.4150" Properties=species:S:1:pos:R:3 comment="Th2ZnPdAu PBE optimized geometry" e_tot_ev_per_atom=-5.507 ef_mev_per_atom=-590 total_magnetization_mub_per_cell=0.000 pbc="T T T"
Th -5.6628 -3.5979 3.4713
Th -6.2204 -1.7918 0.1291
Th -0.4742 -0.6149 2.6550
Th 0.0835 -2.4210 5.9973
Zn -2.1920 -3.2761 3.4700
Zn -3.9449 -0.9366 2.6563
Pd -3.4720 -5.4320 4.3109
Pd -2.6649 1.2193 1.8155
Au -3.6570 -3.2713 1.0927
Au -2.4799 -0.9414 5.0336

***

No. 2
5
Lattice="-3.5562 4.0653 -0.6522 -4.5576 -4.0361 -0.3073 -0.6368 0.3083 5.3943" Properties=species:S:1:pos:R:3 comment="LaSiAgI2 PBE optimized geometry" e_above_lowest_polymorph_ev_per_atom=0.301 formation_energy_uncorrected_ev_per_atom=0.406 e_tot_ev_per_atom=-2.854 total_magnetization_mub_per_cell=0.000 pbc="T T T"
I -0.3184 0.1542 2.6971
I -1.7781 2.0327 -0.3261
Si -4.3753 0.1688 2.2174
Ag 0.0000 0.0000 0.0000
La -2.2788 -2.0181 -0.1537

***

No. 3
9
Lattice="3.5277 0.0000 0.2608 0.0000 9.4832 0.0000 -0.6520 -4.7416 8.7660" Properties=species:S:1:pos:R:3 comment="Sm2Y6Cd PBE optimized geometry" e_above_lowest_polymorph_ev_per_atom=0.146 e_tot_ev_per_atom=-5.387 ef_mev_per_atom=73 total_magnetization_mub_per_cell=0.000 pbc="T T T"
Sm 1.5237 4.7416 3.3274
Sm 1.3520 0.0000 5.6995
Y -0.2102 1.6772 2.8285
Y 3.0859 -3.0644 6.1984
Y 3.0859 3.0644 6.1984
Y 1.7638 2.8210 0.1304
Y -0.2102 7.8060 2.8285
Y 1.7638 6.6622 0.1304
Cd 0.0000 0.0000 0.0000

***

No. 4
16
Lattice="7.8244 0.0000 0.0000 0.0000 7.8244 0.0000 0.0000 0.0000 3.2720" Properties=species:S:1:pos:R:3 comment="LiF PBE optimized geometry" e_above_lowest_polymorph_ev_per_atom=0.037 formation_energy_uncorrected_ev_per_atom=-2.915 e_tot_ev_per_atom=-4.807 total_magnetization_mub_per_cell=0.017 pbc="T T T"
Li 2.9237 6.2363 0.0000
Li 4.9007 1.5881 0.0000
Li 1.5881 2.9237 0.0000
Li 6.2363 4.9007 0.0000
Li 6.8359 2.3241 1.6360
Li 0.9885 5.5003 1.6360
Li 5.5003 6.8359 1.6360
Li 2.3241 0.9885 1.6360
F 3.0480 1.6532 0.0000
F 4.7764 6.1712 0.0000
F 6.1712 3.0480 0.0000
F 1.6532 4.7764 0.0000
F 6.9602 5.5654 1.6360
F 0.8642 2.2590 1.6360
F 2.2590 6.9602 1.6360
F 5.5654 0.8642 1.6360

***

No. 5
6
Lattice="5.2630 0.0000 0.0000 2.6315 4.5579 0.0000 2.6315 1.5193 4.2973" Properties=species:S:1:pos:R:3 comment="YHfRu4 PBE optimized geometry" e_tot_ev_per_atom=-9.222 ef_mev_per_atom=-302 total_magnetization_mub_per_cell=0.000 pbc="T T T"
Y 0.0000 0.0000 0.0000
Ru 5.2630 3.0386 0.5420
Ru 5.2630 1.5239 2.6842
Ru 6.5748 3.7960 2.6842
Ru 3.9513 3.7960 2.6842
Hf 2.6315 1.5193 1.0743

***

No. 6
5
Lattice="-2.8885 1.1813 3.1594 2.0517 -2.6863 2.8802 2.6773 3.3331 1.2015" Properties=species:S:1:pos:R:3 comment="POsPd3 PBE optimized geometry" e_above_lowest_polymorph_ev_per_atom=0.000 e_tot_ev_per_atom=-5.723 ef_mev_per_atom=720 total_magnetization_mub_per_cell=3.169 pbc="T T T"
P 0.0000 0.0000 0.0000
Os 0.9202 0.9141 3.6205
Pd 1.0259 -1.3431 1.4401
Pd 1.3386 1.6665 0.6007
Pd -1.4443 0.5907 1.5797